1.
VASP calculation (PBE) on an optimized crystal structure of ScBeO2.

uncorrected formation energy: -2.4443 eV/atom
DOS(E_F): 4.1 states/eV/cell
final energy: -59.50 eV for the cell shown
M_tot: 2.00 Bohr magnetons per cell

a = 5.085 Å, b = 5.085 Å, c = 5.085 Å
α = 126.36°, β = 126.36°, γ = 79.30°
Element x y z (fractional)
Sc1 0.000 0.000 0.000
Sc2 0.750 0.250 0.500
Be1 0.250 0.750 0.500
Be2 0.500 0.500 0.000
O1 0.210 0.625 0.085
O2 0.375 0.460 0.585
O3 0.540 0.125 0.915
O4 0.875 0.790 0.415

2.
VASP calculation (PBE) on an optimized crystal structure of Sn2Bi.

formation energy from the elements: 85.2 meV/atom
DOS(E_F): 1.8 states/eV/cell
final energy: -11.63 eV for the cell shown
M_tot: 0.00 Bohr magnetons per cell

a = 6.527 Å, b = 6.521 Å, c = 3.815 Å
α = 73.09°, β = 72.92°, γ = 34.00°
Element x y z (fractional)
Sn1 0.172 0.172 0.828
Sn2 0.828 0.828 0.172
Bi1 0.500 0.500 0.500

3.
VASP calculation (PBE) on an optimized crystal structure of TbPrSm6.

formation energy from the elements: 371.4 meV/atom
DOS(E_F): 15.2 states/eV/cell
final energy: -34.75 eV for the cell shown
M_tot: 0.00 Bohr magnetons per cell

a = 5.880 Å, b = 5.880 Å, c = 9.189 Å
α = 101.66°, β = 101.66°, γ = 74.39°
Element x y z (fractional)
Tb1 0.000 0.000 0.000
Pr1 0.500 0.500 0.500
Sm1 0.049 0.528 0.704
Sm2 0.373 0.373 0.077
Sm3 0.472 0.951 0.296
Sm4 0.528 0.049 0.704
Sm5 0.627 0.627 0.923
Sm6 0.951 0.472 0.296

4.
VASP calculation (PBE) on an optimized crystal structure of Ho4Cd3Ag.

formation energy from the elements: -318.6 meV/atom
DOS(E_F): 6.0 states/eV/cell
final energy: -26.46 eV for the cell shown
M_tot: 0.00 Bohr magnetons per cell

a = 3.690 Å, b = 3.690 Å, c = 14.888 Å
α = 90.00°, β = 90.00°, γ = 90.00°
Element x y z (fractional)
Ho1 0.000 0.000 0.119
Ho2 0.000 0.000 0.373
Ho3 0.000 0.000 0.627
Ho4 0.000 0.000 0.881
Cd1 0.500 0.500 0.248
Cd2 0.500 0.500 0.500
Cd3 0.500 0.500 0.752
Ag1 0.500 0.500 0.000

5.
VASP calculation (PBE) on an optimized crystal structure of KIn7Ag5.

formation energy from the elements: -66.4 meV/atom
DOS(E_F): 3.8 states/eV/cell
final energy: -35.39 eV for the cell shown
M_tot: 0.00 Bohr magnetons per cell

a = 7.768 Å, b = 7.768 Å, c = 7.768 Å
α = 135.82°, β = 97.69°, γ = 98.57°
Element x y z (fractional)
K1 0.000 0.000 0.000
In1 0.211 0.506 0.705
In2 0.341 0.992 0.349
In3 0.347 0.347 0.000
In4 0.643 0.992 0.651
In5 0.647 0.647 0.000
In6 0.772 0.272 0.500
In7 0.800 0.506 0.295
Ag1 0.003 0.002 0.504
Ag2 0.003 0.499 0.001
Ag3 0.222 0.722 0.500
Ag4 0.498 0.002 0.999
Ag5 0.498 0.499 0.496

6.
VASP calculation (PBE) on an optimized crystal structure of BaLi2CeI8.

uncorrected formation energy: -1.2101 eV/atom
DOS(E_F): 4.2 states/eV/cell
final energy: -38.61 eV for the cell shown
M_tot: 0.11 Bohr magnetons per cell

a = 7.450 Å, b = 7.450 Å, c = 10.311 Å
α = 90.00°, β = 90.00°, γ = 120.00°
Element x y z (fractional)
Ba1 0.000 0.000 0.000
Li1 0.333 0.667 0.742
Li2 0.667 0.333 0.258
Ce1 0.000 0.000 0.500
I1 0.028 0.698 0.315
I2 0.302 0.330 0.315
I3 0.330 0.028 0.685
I4 0.333 0.667 0.998
I5 0.667 0.333 0.002
I6 0.670 0.972 0.315
I7 0.698 0.670 0.685
I8 0.972 0.302 0.685

7.
VASP calculation (PBE) on an optimized crystal structure of ZnTcAgF6.

uncorrected formation energy: -1.7689 eV/atom
DOS(E_F): 7.4 states/eV/cell
final energy: -83.28 eV for the cell shown
M_tot: 4.01 Bohr magnetons per cell

a = 5.570 Å, b = 5.570 Å, c = 10.127 Å
α = 90.00°, β = 90.00°, γ = 120.00°
Element x y z (fractional)
Zn1 0.333 0.667 0.250
Zn2 0.667 0.333 0.750
Tc1 0.333 0.667 0.750
Tc2 0.667 0.333 0.250
Ag1 0.000 0.000 0.000
Ag2 0.000 0.000 0.500
F1 0.004 0.367 0.646
F2 0.004 0.637 0.854
F3 0.363 0.367 0.854
F4 0.363 0.996 0.646
F5 0.367 0.004 0.146
F6 0.367 0.363 0.354
F7 0.633 0.637 0.646
F8 0.633 0.996 0.854
F9 0.637 0.004 0.354
F10 0.637 0.633 0.146
F11 0.996 0.363 0.146
F12 0.996 0.633 0.354

8.
VASP calculation (PBE) on an optimized crystal structure of RbAcRuO5.

uncorrected formation energy: -1.7512 eV/atom
DOS(E_F): 4.2 states/eV/cell
final energy: -106.30 eV for the cell shown
M_tot: 4.02 Bohr magnetons per cell

a = 6.751 Å, b = 6.751 Å, c = 8.623 Å
α = 103.98°, β = 103.98°, γ = 105.83°
Element x y z (fractional)
Rb1 0.172 0.828 0.750
Rb2 0.828 0.172 0.250
Ac1 0.500 0.500 0.000
Ac2 0.500 0.500 0.500
Ru1 0.180 0.820 0.250
Ru2 0.820 0.180 0.750
O1 0.089 0.248 0.896
O2 0.188 0.635 0.370
O3 0.248 0.089 0.396
O4 0.365 0.812 0.130
O5 0.425 0.575 0.750
O6 0.575 0.425 0.250
O7 0.635 0.188 0.870
O8 0.752 0.911 0.604
O9 0.812 0.365 0.630
O10 0.911 0.752 0.104